# HgW

A relaxed HgW crystal (PBE, Alexandria via LeMat-Bulk).

Unit cell a=10.256 b=10.256 c=3.079 alpha=90.00 beta=90.00 gamma=90.00
Fractional positions:
1 W 0.956 0.356 0.500
2 W 0.356 0.044 0.500
3 W 0.523 0.146 0.000
4 W 0.477 0.854 0.000
5 W 0.044 0.644 0.500
6 W 0.644 0.956 0.500
7 W 0.854 0.523 0.000
8 W 0.146 0.477 0.000
9 Hg 0.134 0.164 0.000
10 Hg 0.655 0.359 0.500
11 Hg 0.345 0.641 0.500
12 Hg 0.359 0.345 0.500
13 Hg 0.164 0.866 0.000
14 Hg 0.641 0.655 0.500
15 Hg 0.866 0.836 0.000
16 Hg 0.836 0.134 0.000

Calculated values
Energy (eV/atom): -6.098
Density of states at the Fermi level (states/eV/f.u.): 1.1